# 1
Density functional theory data (PBE-GGA) for an optimized crystal structure of NiOsSe2.

POSCAR file:
```
NiOsSe2
1.0
3.0825 0.0000 0.0000
0.0000 3.0825 0.0000
0.0000 0.0000 6.3236
Ni Os Se
1 1 2
Cartesian
0.0000 0.0000 0.0000
0.0000 0.0000 3.1618
1.5412 1.5412 1.5506
1.5412 1.5412 4.7730
```

Calculated values
SG = P4/mmm
magnetization = 0.000 μB per atom

***

# 2
Density functional theory data (PBE-GGA) for an optimized crystal structure of NiOsSe.

POSCAR file:
```
NiOsSe
1.0
5.7963 0.0000 0.0000
0.0000 5.7963 0.0000
0.0000 0.0000 5.7963
Ni Os Se
4 4 4
Cartesian
0.0000 0.0000 0.0000
0.0000 2.8982 2.8982
2.8982 0.0000 2.8982
2.8982 2.8982 0.0000
1.4491 1.4491 1.4491
1.4491 4.3472 4.3472
4.3472 1.4491 4.3472
4.3472 4.3472 1.4491
0.0000 0.0000 2.8982
0.0000 2.8982 0.0000
2.8982 0.0000 0.0000
2.8982 2.8982 2.8982
```

Calculated values
SG = F-43m
magnetization = 0.000 μB per atom

***

# 3
Density functional theory data (PBE-GGA) for an optimized crystal structure of Ni3OsSe.

POSCAR file:
```
Ni3OsSe
1.0
4.5183 0.0000 0.0000
0.0000 4.5183 0.0000
0.0000 0.0000 4.5183
Ni Os Se
3 1 1
Cartesian
0.0000 0.0000 2.2591
0.0000 2.2591 0.0000
2.2591 0.0000 0.0000
0.0000 0.0000 0.0000
2.2591 2.2591 2.2591
```

Calculated values
SG = Pm-3m
magnetization = 0.000 μB per atom

***

# 4
Density functional theory data (PBE-GGA) for an optimized crystal structure of NiOsSe.

POSCAR file:
```
NiOsSe
1.0
2.9168 0.0000 0.0000
-1.4584 2.5260 0.0000
0.0000 0.0000 5.8167
Ni Os Se
1 1 1
Cartesian
0.0000 0.0000 0.0000
1.4584 0.8420 1.9900
0.0000 1.6840 3.9329
```

Calculated values
SG = P3m1
magnetization = 0.000 μB per atom

***

# 5
Density functional theory data (PBE-GGA) for an optimized crystal structure of NiOsSe2.

POSCAR file:
```
NiOsSe2
1.0
3.1253 0.0000 0.0000
-1.5626 2.7066 0.0000
0.0000 0.0000 21.8527
Ni Os Se
3 3 6
Cartesian
0.0000 0.0000 0.0000
0.0000 1.8044 14.5685
1.5627 0.9022 7.2842
0.0000 0.0000 10.9264
0.0000 1.8044 3.6421
1.5627 0.9022 18.2106
0.0000 0.0000 5.5495
0.0000 0.0000 16.3033
0.0000 1.8044 9.0190
0.0000 1.8044 20.1180
1.5627 0.9022 1.7348
1.5627 0.9022 12.8337
```

Calculated values
SG = R-3m
magnetization = 0.000 μB per atom

***

# 6
Density functional theory data (PBE-GGA) for an optimized crystal structure of NiOsSe2.

POSCAR file:
```
NiOsSe2
1.0
6.3012 0.0000 0.0000
0.0000 6.3012 0.0000
0.0000 0.0000 6.3012
Ni Os Se
4 4 8
Cartesian
0.0000 0.0000 0.0000
0.0000 3.1506 3.1506
3.1506 0.0000 3.1506
3.1506 3.1506 0.0000
1.5753 1.5753 1.5753
1.5753 4.7259 4.7259
4.7259 1.5753 4.7259
4.7259 4.7259 1.5753
0.0000 0.0000 3.1506
0.0000 3.1506 0.0000
1.5753 1.5753 4.7259
1.5753 4.7259 1.5753
3.1506 0.0000 0.0000
3.1506 3.1506 3.1506
4.7259 1.5753 1.5753
4.7259 4.7259 4.7259
```

Calculated values
SG = F-43m
magnetization = 0.000 μB per atom

***

# 7
Density functional theory data (PBE-GGA) for an optimized crystal structure of NiOsSe.

POSCAR file:
```
NiOsSe
1.0
2.6927 0.0000 0.0000
0.0000 4.7483 0.0000
0.0000 0.0000 15.1232
Ni Os Se
4 4 4
Cartesian
0.0000 0.0000 0.0000
0.0000 2.3741 7.5616
1.3464 0.0000 7.5616
1.3464 2.3741 0.0000
0.0000 0.0000 5.4683
0.0000 2.3741 13.0300
1.3464 0.0000 13.0300
1.3464 2.3741 5.4683
0.0000 0.0000 9.6260
0.0000 2.3741 2.0644
1.3464 0.0000 2.0644
1.3464 2.3741 9.6260
```

Calculated values
SG = Fmm2
magnetization = 0.068 μB per atom

***

# 8
Density functional theory data (PBE-GGA) for an optimized crystal structure of NiOsSe2.

POSCAR file:
```
NiOsSe2
1.0
7.3636 0.0000 0.0000
0.0000 3.1261 0.0000
-0.9246 0.0000 6.7479
Ni Os Se
2 2 4
Cartesian
0.0000 0.0000 0.0000
3.6818 1.5630 0.0000
1.5854 1.5630 1.5400
5.2671 0.0000 1.5400
1.2318 0.0000 6.1636
3.0734 0.0000 2.7973
4.9136 1.5630 6.1636
6.7551 1.5630 2.7973
```

Calculated values
SG = Cm
magnetization = 0.000 μB per atom

***

# 9
Density functional theory data (PBE-GGA) for an optimized crystal structure of NiOsSe2.

POSCAR file:
```
NiOsSe2
1.0
2.9565 0.0000 0.0000
0.0000 5.2432 0.0000
0.0000 0.0000 8.2093
Ni Os Se
2 2 4
Cartesian
0.0000 0.0000 0.0000
1.4783 2.6216 0.0000
0.0000 0.0000 4.1047
1.4783 2.6216 4.1047
0.0000 2.6216 1.9883
0.0000 2.6216 6.2210
1.4783 0.0000 1.9883
1.4783 0.0000 6.2210
```

Calculated values
SG = Cmmm
magnetization = 0.040 μB per atom

***

# 10
Density functional theory data (PBE-GGA) for an optimized crystal structure of NiOsSe2.

POSCAR file:
```
NiOsSe2
1.0
3.7512 0.0000 0.0000
0.0000 3.7512 0.0000
0.0000 0.0000 8.6963
Ni Os Se
2 2 4
Cartesian
0.0000 0.0000 0.0000
1.8756 1.8756 4.3481
0.0000 1.8756 6.5222
1.8756 0.0000 2.1741
0.0000 0.0000 4.3481
0.0000 1.8756 2.1741
1.8756 0.0000 6.5222
1.8756 1.8756 0.0000
```

Calculated values
SG = I-4m2
magnetization = 0.000 μB per atom

***

# 11
Density functional theory data (PBE-GGA) for an optimized crystal structure of NiOsSe2.

POSCAR file:
```
NiOsSe2
1.0
5.4133 0.0000 0.0000
0.0000 5.4133 0.0000
0.0000 0.0000 10.9868
Ni Os Se
4 4 8
Cartesian
0.0000 0.0000 0.0000
0.0000 2.7066 2.7467
2.7066 0.0000 8.2401
2.7066 2.7066 5.4934
0.0000 0.0000 5.4934
0.0000 2.7066 8.2401
2.7066 0.0000 2.7467
2.7066 2.7066 0.0000
1.3031 1.3533 1.3733
1.3533 4.0097 4.1200
1.3533 4.1102 9.6134
1.4036 1.3533 6.8667
4.0097 4.0599 6.8667
4.0599 1.3031 9.6134
4.0599 1.4036 4.1200
4.1102 4.0599 1.3733
```

Calculated values
SG = I-42d
magnetization = 0.000 μB per atom

***

# 12
Density functional theory data (PBE-GGA) for an optimized crystal structure of NiOs3Se.

POSCAR file:
```
NiOs3Se
1.0
4.4983 0.0000 0.0000
0.0000 4.4983 0.0000
0.0000 0.0000 4.4983
Ni Os Se
1 3 1
Cartesian
0.0000 0.0000 0.0000
0.0000 2.2492 2.2492
2.2492 0.0000 2.2492
2.2492 2.2492 0.0000
2.2492 2.2492 2.2492
```

Calculated values
SG = Pm-3m
magnetization = 0.434 μB per atom

***

For each record above, in turn, the calculated formation energy without anion corrections values are 0.457 0.421 1.367 0.434 0.334 0.973 0.682 0.143 0.710 0.715 0.181 2.004 eV/atom.
For each record above, in turn, the calculated calculated total energy values are -5.538 -6.411 -5.044 -6.398 -5.661 -5.023 -6.150 -5.852 -5.285 -5.280 -5.814 -6.587 eV per atom.
For each record above, in turn, the calculated DOS at the Fermi energy values are 3.25 7.78 8.26 2.14 10.61 16.68 14.48 3.79 11.17 6.88 11.63 4.99 states/eV per cell.